(1)
The following is a PBE-GGA calculation of a geometry-optimized MgNiBOs structure, from OQMD via LeMat-Bulk.

Cell lengths 4.0443, 4.0443, 4.0443 Å; angles 60.00, 60.00, 60.00 degrees
Fractional coordinates of all 4 atoms:
B 0.0000 0.0000 0.0000
Mg 0.2500 0.2500 0.2500
Ni 0.5000 0.5000 0.5000
Os 0.7500 0.7500 0.7500

Volume: 47 Å³/f.u.
Offset from the most stable computed form: 0.000 eV per atom
Total moment: 0.0 Bohr magnetons per cell

=====

(2)
The following is a PBE-GGA calculation of a geometry-optimized Hf2Nb4As3C3 structure, from OQMD via LeMat-Bulk.

Cell lengths 5.8320, 5.8320, 12.6257 Å; angles 103.32, 103.32, 60.08 degrees
Fractional coordinates of all 24 atoms:
As 0.7587 0.5832 0.2499
As 0.0748 0.9252 0.2500
As 0.4168 0.2413 0.2501
As 0.5832 0.7587 0.7499
As 0.9252 0.0748 0.7500
As 0.2413 0.4168 0.7501
C 0.6654 0.1695 0.0000
C 0.0000 0.5000 0.0000
C 0.3346 0.8305 0.0000
C 0.1695 0.6654 0.5000
C 0.5000 0.0000 0.5000
C 0.8305 0.3346 0.5000
Hf 0.3673 0.5334 0.1006
Hf 0.4666 0.6327 0.3994
Hf 0.5334 0.3673 0.6006
Hf 0.6327 0.4666 0.8994
Nb 0.6975 0.8642 0.0933
Nb 0.0306 0.1983 0.0933
Nb 0.8017 0.9694 0.4067
Nb 0.1358 0.3025 0.4067
Nb 0.8642 0.6975 0.5933
Nb 0.1983 0.0306 0.5933
Nb 0.9694 0.8017 0.9067
Nb 0.3025 0.1358 0.9067

Volume: 179 Å³/f.u.
Total energy: -9.259 eV/atom
Total moment: 0.0 Bohr magnetons per cell

=====

(3)
The following is a PBE-GGA calculation of a geometry-optimized HoEr2Tm4Ni2Te2 structure, from OQMD via LeMat-Bulk.

Cell lengths 9.2340, 9.2340, 9.2340 Å; angles 156.17, 67.03, 118.40 degrees
Fractional coordinates of all 11 atoms:
Er 0.3748 0.0602 0.3146
Er 0.7457 0.0602 0.6854
Ho 0.6815 0.6815 0.0000
Ni 0.9911 0.7535 0.2376
Ni 0.5159 0.7535 0.7624
Te 0.0191 0.0191 0.0000
Te 0.4156 0.9156 0.5000
Tm 0.3975 0.2641 0.1335
Tm 0.7646 0.4114 0.3533
Tm 0.0581 0.4114 0.6467
Tm 0.1306 0.2641 0.8665

Volume: 278 Å³/f.u.
Total energy: -5.136 eV/atom
Total moment: 0.0 Bohr magnetons per cell

=====

(4)
The following is a PBE-GGA calculation of a geometry-optimized K4AsPAu2 structure, from OQMD via LeMat-Bulk.

Cell lengths 6.2488, 6.2488, 6.3769 Å; angles 90.02, 90.02, 73.71 degrees
Fractional coordinates of all 8 atoms:
As 0.2448 0.7552 0.0000
Au 0.5070 0.4930 0.2524
Au 0.5070 0.4930 0.7476
K 0.6779 0.9748 0.0005
K 0.9694 0.6814 0.4997
K 0.3186 0.0306 0.5003
K 0.0252 0.3221 0.9995
P 0.7501 0.2499 0.5000

Volume: 239 Å³/f.u.
Total energy: -3.133 eV/atom

=====

(5)
The following is a PBE-GGA calculation of a geometry-optimized Zn3As2O6 structure, from OQMD via LeMat-Bulk.

Cell lengths 6.0193, 14.4794, 7.8253 Å; angles 90.00, 90.00, 90.00 degrees
Fractional coordinates of all 44 atoms:
As 0.2937 0.0993 0.0000
As 0.7937 0.4007 0.0000
As 0.2063 0.5993 0.0000
As 0.7063 0.9007 0.0000
As 0.5699 0.1223 0.5000
As 0.0699 0.3777 0.5000
As 0.9301 0.6223 0.5000
As 0.4301 0.8777 0.5000
O 0.3403 0.2216 0.0000
O 0.8403 0.2784 0.0000
O 0.1597 0.7216 0.0000
O 0.6597 0.7784 0.0000
O 0.1005 0.1031 0.1767
O 0.6005 0.3969 0.1767
O 0.3995 0.6031 0.1767
O 0.8995 0.8969 0.1767
O 0.6433 0.1957 0.3227
O 0.1433 0.3043 0.3227
O 0.8567 0.6957 0.3227
O 0.3567 0.8043 0.3227
O 0.8220 0.0565 0.5000
O 0.3220 0.4435 0.5000
O 0.6780 0.5565 0.5000
O 0.1780 0.9435 0.5000
O 0.6433 0.1957 0.6773
O 0.1433 0.3043 0.6773
O 0.8567 0.6957 0.6773
O 0.3567 0.8043 0.6773
O 0.1005 0.1031 0.8233
O 0.6005 0.3969 0.8233
O 0.3995 0.6031 0.8233
O 0.8995 0.8969 0.8233
Zn 0.9327 0.2180 0.2169
Zn 0.4327 0.2820 0.2169
Zn 0.5673 0.7180 0.2169
Zn 0.0673 0.7820 0.2169
Zn 0.0000 0.0000 0.3139
Zn 0.5000 0.5000 0.3139
Zn 0.0000 0.0000 0.6861
Zn 0.5000 0.5000 0.6861
Zn 0.9327 0.2180 0.7831
Zn 0.4327 0.2820 0.7831
Zn 0.5673 0.7180 0.7831
Zn 0.0673 0.7820 0.7831

Volume: 171 Å³/f.u.
Offset from the most stable computed form: 0.000 eV per atom

=====

(6)
The following is a PBE-GGA calculation of a geometry-optimized DyHoSc structure, from OQMD via LeMat-Bulk.

Cell lengths 5.2231, 5.2231, 5.2231 Å; angles 60.00, 60.00, 60.00 degrees
Fractional coordinates of all 3 atoms:
Dy 0.2500 0.2500 0.2500
Ho 0.7500 0.7500 0.7500
Sc 0.0000 0.0000 0.0000

Volume: 101 Å³/f.u.
ΔH_f (0 K): 0.689 eV per atom
Offset from the most stable computed form: 0.000 eV per atom
Total moment: 0.0 Bohr magnetons per cell

=====

(7)
The following is a PBE-GGA calculation of a geometry-optimized LiYNiS3 structure, from OQMD via LeMat-Bulk.

Cell lengths 6.2508, 6.2508, 10.3298 Å; angles 90.00, 90.00, 35.01 degrees
Fractional coordinates of all 12 atoms:
Li 0.7708 0.7708 0.2500
Li 0.2292 0.2292 0.7500
Ni 0.4879 0.4879 0.2500
Ni 0.5121 0.5121 0.7500
S 0.3572 0.3572 0.0914
S 0.0895 0.0895 0.2500
S 0.3572 0.3572 0.4086
S 0.6428 0.6428 0.5914
S 0.9105 0.9105 0.7500
S 0.6428 0.6428 0.9086
Y 0.0000 0.0000 0.0000
Y 0.0000 0.0000 0.5000

Volume: 116 Å³/f.u.
Total energy: -5.572 eV/atom
Total moment: 2.8 Bohr magnetons per cell

=====

(8)
The following is a PBE-GGA calculation of a geometry-optimized NpTlTe structure, from OQMD via LeMat-Bulk.

Cell lengths 5.2225, 5.2225, 5.2225 Å; angles 60.00, 60.00, 60.00 degrees
Fractional coordinates of all 3 atoms:
Np 0.2500 0.2500 0.2500
Te 0.0000 0.0000 0.0000
Tl 0.7500 0.7500 0.7500

Volume: 101 Å³/f.u.
Offset from the most stable computed form: 0.000 eV per atom
Total moment: 5.0 Bohr magnetons per cell

=====

(9)
The following is a PBE-GGA calculation of a geometry-optimized Li2Sc2In2PtAu structure, from OQMD via LeMat-Bulk.

Cell lengths 4.6612, 4.6612, 6.6089 Å; angles 90.00, 90.00, 90.00 degrees
Fractional coordinates of all 8 atoms:
Au 0.5000 0.5000 0.0000
In 0.0000 0.5000 0.2548
In 0.5000 0.0000 0.7452
Li 0.0000 0.0000 0.0000
Li 0.5000 0.5000 0.5000
Pt 0.0000 0.0000 0.5000
Sc 0.5000 0.0000 0.2585
Sc 0.0000 0.5000 0.7415

Volume: 144 Å³/f.u.
Total energy: -4.612 eV/atom
Total moment: 0.0 Bohr magnetons per cell

=====

(10)
The following is a PBE-GGA calculation of a geometry-optimized AcPtAu structure, from OQMD via LeMat-Bulk.

Cell lengths 3.9451, 4.5139, 8.5868 Å; angles 90.00, 90.01, 90.00 degrees
Fractional coordinates of all 6 atoms:
Ac 0.6884 0.2163 0.3271
Ac 0.6884 0.7162 0.8800
Au 0.1882 0.7164 0.5118
Au 0.1882 0.2164 0.6953
Pt 0.1885 0.2159 0.0131
Pt 0.1885 0.7159 0.1940

Volume: 76 Å³/f.u.
ΔH_f (0 K): -0.942 eV per atom
Offset from the most stable computed form: 0.000 eV per atom
Total moment: 0.0 Bohr magnetons per cell

=====

(11)
The following is a PBE-GGA calculation of a geometry-optimized Gd2CdGe2 structure, from OQMD via LeMat-Bulk.

Cell lengths 7.3521, 7.3521, 4.2608 Å; angles 90.00, 90.00, 90.00 degrees
Fractional coordinates of all 10 atoms:
Cd 0.0000 0.0000 0.0000
Cd 0.5000 0.5000 0.0000
Gd 0.3220 0.1780 0.5000
Gd 0.8220 0.3220 0.5000
Gd 0.1780 0.6780 0.5000
Gd 0.6780 0.8220 0.5000
Ge 0.6217 0.1217 0.0000
Ge 0.1217 0.3783 0.0000
Ge 0.8783 0.6217 0.0000
Ge 0.3783 0.8783 0.0000

Volume: 115 Å³/f.u.
Total energy: -4.632 eV/atom
Total moment: 0.0 Bohr magnetons per cell

=====

(12)
The following is a PBE-GGA calculation of a geometry-optimized DySb2F12 structure, from OQMD via LeMat-Bulk.

Cell lengths 4.7420, 5.2893, 8.1710 Å; angles 73.54, 87.51, 63.76 degrees
Fractional coordinates of all 15 atoms:
Dy 0.5000 0.5000 0.5000
F 0.3900 0.2912 0.0220
F 0.0732 0.7592 0.0951
F 0.9328 0.2853 0.2463
F 0.5209 0.8055 0.2641
F 0.4552 0.2316 0.3570
F 0.9953 0.7640 0.4167
F 0.0047 0.2360 0.5833
F 0.5448 0.7684 0.6430
F 0.4791 0.1945 0.7359
F 0.0672 0.7147 0.7537
F 0.9268 0.2408 0.9049
F 0.6100 0.7088 0.9780
Sb 0.7479 0.0599 0.1865
Sb 0.2521 0.9401 0.8135

Volume: 175 Å³/f.u.
Total energy: -4.892 eV/atom
Total moment: 0.0 Bohr magnetons per cell